A relaxed AgHg3Pt crystal, computed with PBE-GGA.

Cell and atoms, written as POSCAR:
```
AgHg3Pt
1.0
-2.9658 2.8206 3.2508
-4.1085 -3.0314 -1.1181
1.2821 -3.1897 3.9372
Ag Hg Pt
1 3 1
direct
0.0000 0.0000 0.0000
0.0000 0.5000 0.0000
0.0000 0.0000 0.5000
0.5000 0.0000 0.0000
0.5000 0.5000 0.5000
```

Summary:
Density: 10.52 Mg/m³
Raw total energy: -5.70 eV for the cell shown
DFT formation energy: 0.820 eV/atom